# PBE Zr13Rh2, relaxed
# **Energy relative to the elements**: -0.1966 eV/atom
# **M_tot**: 0.000 μB/f.u.
data_Zr13Rh2
_chemical_formula_sum 'Zr13 Rh2'
_space_group_name_H-M_alt 'P -1'
_space_group_IT_number 2
_space_group_name_Hall '-P 1'
_cell_length_a 5.703
_cell_length_b 7.654
_cell_length_c 8.210
_cell_angle_alpha 67.81
_cell_angle_beta 80.65
_cell_angle_gamma 82.41
loop_
_atom_site_label
_atom_site_fract_x
_atom_site_fract_y
_atom_site_fract_z
Zr1 0.000 0.000 0.000
Zr2 0.051 0.411 0.712
Zr3 0.221 0.182 0.217
Zr4 0.252 0.594 0.944
Zr5 0.279 0.997 0.644
Zr6 0.449 0.373 0.417
Zr7 0.476 0.796 0.149
Rh1 0.137 0.779 0.457